This record from the Alexandria database describes an optimized crystal structure of Co2TcW. The functional is GGA-PBE.

a = 2.641 Å, b = 3.681 Å, c = 5.271 Å
α = 90.00°, β = 90.00°, γ = 90.00°
Space group Pmmm (No. 47)
Symmetry-distinct sites (fractional):
Co  0.000  0.000  0.244 (multiplicity 2)
Tc  0.500  0.500  0.000 (multiplicity 1)
W  0.500  0.500  0.500 (multiplicity 1)

energy above the lowest structure with this stoichiometry: 62.1 meV/atom
DFT formation energy: 34 meV/atom
size of the total moment: 0.3 μB/f.u.
density of states at the Fermi level: 0.809 states/eV per atom